## CsNiI2O (PBE+U)

Data for an optimized crystal structure of CsNiI2O.

a b c (Å): 7.033 7.033 4.369
angles (deg): 90.00 90.00 90.00
Fractional coordinates of all 5 atoms:
I1 0.500 0.000 0.000
I2 0.000 0.500 0.000
Cs1 0.000 0.000 0.000
O1 0.000 0.000 0.500
Ni1 0.500 0.500 0.500

Uncorrected energy ... -1.7051 eV/atom
SG ... P4/mmm, No. 123
Relative energy among the computed polymorphs ... 1.105 eV/atom
Volume ... 43.22 Å³ per atom